No. 1
LaPmErZn | GGA-PBE | relaxed

The structure in extended XYZ format:
```
4
Lattice="-2.249 -2.783 -0.641 2.041 -2.137 2.117 -4.838 2.300 6.984" Properties=species:S:1:pos:R:3 pbc="T T T"
Pm -3.842 -0.682 6.136
La -0.384 0.183 0.554
Zn -2.705 1.286 3.906
Er -1.910 -1.601 3.346
```

Formation energy from the elements in kJ/mol of formula units: -58
ΔE to the lowest computed polymorph in meV/atom: 0

***

No. 2
FeSb3 | GGA-PBE | relaxed

The structure in extended XYZ format:
```
8
Lattice="3.230 0.000 0.000 0.000 7.418 0.000 0.000 0.000 8.514" Properties=species:S:1:pos:R:3 pbc="T T T"
Sb 0.000 4.535 4.257
Sb 0.000 1.480 5.963
Sb 0.000 1.480 2.551
Sb 1.615 5.938 1.706
Sb 1.615 2.883 0.000
Sb 1.615 5.938 6.808
Fe 1.615 2.526 4.257
Fe 0.000 4.892 0.000
```

ΔE to the lowest computed polymorph in meV/atom: 252
Formation energy (no corrections) in eV per formula unit: 0.905

***

No. 3
ZnAg2Rh | GGA-PBE | relaxed

The structure in extended XYZ format:
```
4
Lattice="-8.487 -1.396 3.160 -8.085 -3.902 1.837 -7.148 -3.531 4.516" Properties=species:S:1:pos:R:3 pbc="T T T"
Zn -17.875 -6.654 7.169
Ag -5.876 -2.187 2.357
Ag -0.100 -0.037 0.040
Rh -11.729 -4.366 4.704
```

Formation energy from the elements in kJ/mol of formula units: 1

***

No. 4
Dy6SiAs3S2 | GGA-PBE | relaxed

The structure in extended XYZ format:
```
12
Lattice="4.058 0.000 0.000 0.000 8.116 0.304 -2.029 -2.324 8.521" Properties=species:S:1:pos:R:3 pbc="T T T"
Si 2.029 0.000 0.000
Dy 2.029 3.790 8.736
Dy 2.029 -0.102 2.838
Dy 0.000 5.894 5.987
Dy 0.000 1.826 5.814
Dy 2.029 3.966 3.011
Dy 0.000 2.002 0.089
As 2.029 -0.174 5.705
As 0.000 5.966 3.120
As 2.029 4.058 0.152
S 0.000 1.956 2.977
S 2.029 3.836 5.848
```

Formation energy (no corrections) in eV per formula unit: -18.983

***

No. 5
BaMnW2 | GGA-PBE | relaxed

The structure in extended XYZ format:
```
4
Lattice="10.082 0.011 0.006 9.626 3.000 0.006 9.626 1.470 2.615" Properties=species:S:1:pos:R:3 pbc="T T T"
W 0.656 0.100 0.059
W 14.011 2.140 1.255
Ba 7.333 1.120 0.657
Mn 22.000 3.360 1.970
```

Formation energy from the elements in kJ/mol of formula units: 457
ΔE to the lowest computed polymorph in meV/atom: 444

***

No. 6
CaVTe2 | GGA-PBE | relaxed

The structure in extended XYZ format:
```
4
Lattice="-3.972 -6.438 5.838 -3.339 -8.588 2.530 -0.376 -8.038 5.153" Properties=species:S:1:pos:R:3 pbc="T T T"
Ca 0.000 0.000 0.000
V -3.844 -11.532 6.760
Te -6.835 -20.505 12.021
Te -0.853 -2.558 1.500
```

ΔE to the lowest computed polymorph in meV/atom: 224
Formation energy (no corrections) in eV per formula unit: -1.422

***

No. 7
SrDy2Au3 | GGA-PBE | relaxed

The structure in extended XYZ format:
```
6
Lattice="3.656 0.000 0.000 0.000 3.656 0.000 0.000 0.000 11.169" Properties=species:S:1:pos:R:3 pbc="T T T"
Dy 1.828 1.828 9.359
Dy 1.828 1.828 1.810
Au 0.000 0.000 7.791
Au 0.000 0.000 3.378
Au 0.000 0.000 0.000
Sr 1.828 1.828 5.584
```

Formation energy from the elements in kJ/mol of formula units: -476

***

No. 8
CaAlGa2Au5 | GGA-PBE | relaxed

The structure in extended XYZ format:
```
9
Lattice="4.885 0.000 0.000 0.000 5.842 0.000 -2.442 -2.921 6.887" Properties=species:S:1:pos:R:3 pbc="T T T"
Au 0.000 0.000 0.000
Au 0.000 -1.419 4.768
Au 2.442 1.502 2.118
Au 0.000 1.419 4.768
Au 2.442 4.340 2.118
Ca 0.000 2.921 0.000
Ga 0.000 0.000 2.573
Ga 2.442 2.921 4.314
Al 2.442 0.000 0.000
```

Formation energy from the elements in kJ/mol of formula units: -253

***

No. 9
Ba2TlCuP | GGA-PBE | relaxed

The structure in extended XYZ format:
```
5
Lattice="6.361 0.000 0.000 0.000 6.361 0.000 0.000 0.000 4.324" Properties=species:S:1:pos:R:3 pbc="T T T"
Ba 3.181 0.000 0.000
Ba 0.000 3.181 0.000
Tl 3.181 3.181 2.162
P 0.000 0.000 0.000
Cu 0.000 0.000 2.162
```

Formation energy from the elements in kJ/mol of formula units: -201
ΔE to the lowest computed polymorph in meV/atom: 0

***

No. 10
Ho6MgTc2 | GGA-PBE | relaxed

The structure in extended XYZ format:
```
18
Lattice="7.975 -0.057 -2.998 -4.212 7.033 -2.322 -0.172 0.057 8.518" Properties=species:S:1:pos:R:3 pbc="T T T"
Tc 2.215 2.729 5.145
Tc 4.921 0.000 3.481
Tc 1.377 4.304 -1.947
Tc 2.882 0.000 2.039
Ho -1.893 6.929 2.676
Ho 3.854 2.743 2.827
Ho -1.684 5.423 5.921
Ho 5.276 1.610 -2.722
Ho 4.183 5.002 -2.764
Ho 2.550 1.975 -0.455
Ho 5.485 0.104 0.522
Ho -0.262 4.291 0.371
Ho 0.639 1.666 2.637
Ho 1.042 5.058 3.654
Ho 2.953 5.367 0.561
Ho -0.591 2.031 5.962
Mg 0.000 0.000 0.000
Mg -2.192 3.545 3.098
```

Formation energy from the elements in kJ/mol of formula units: -63

***

No. 11
CaIn2Au8 | GGA-PBE | relaxed

The structure in extended XYZ format:
```
11
Lattice="4.104 -0.007 -1.189 -0.671 6.387 -2.373 0.053 0.515 7.979" Properties=species:S:1:pos:R:3 pbc="T T T"
Ca 2.052 -0.004 -0.594
Au 1.345 3.854 4.719
Au 2.195 6.014 -0.105
Au 0.464 1.418 1.603
Au 1.292 0.881 4.523
Au 2.142 3.041 -0.300
Au 3.023 5.477 2.815
Au -0.308 4.679 -1.102
Au 3.795 2.216 5.521
In 0.492 4.413 1.720
In 2.995 2.482 2.699
```

Formation energy from the elements in kJ/mol of formula units: -279
ΔE to the lowest computed polymorph in meV/atom: 0

***

No. 12
Fe3AuI12 | GGA-PBE | relaxed

The structure in extended XYZ format:
```
32
Lattice="12.434 0.000 6.004 4.767 11.484 6.004 1.403 0.937 12.970" Properties=species:S:1:pos:R:3 pbc="T T T"
I 14.617 6.923 18.852
I 4.604 7.977 16.505
I 8.415 7.682 8.873
I 13.402 3.498 15.928
I 15.134 10.917 11.158
I 11.958 8.771 10.935
I 7.986 4.518 11.639
I 11.501 4.827 9.443
I 10.848 5.326 18.665
I 6.496 3.556 7.849
I 2.696 4.636 6.363
I 11.403 10.600 14.638
I 6.263 1.194 15.119
I 6.251 9.792 6.506
I 4.146 0.713 5.798
I 4.787 2.408 11.416
I 12.658 2.019 7.094
I 15.076 10.846 20.338
I 8.309 8.230 12.991
I 12.210 1.767 12.180
I 11.550 9.766 18.287
I 11.253 5.643 13.579
I 4.598 6.468 10.019
I 7.189 11.037 15.358
Fe 9.090 10.590 13.694
Fe 13.035 3.781 13.404
Fe 13.025 5.316 19.889
Fe 15.566 9.991 22.624
Fe 10.134 10.546 20.179
Fe 5.894 4.336 10.134
Au 2.051 1.369 11.628
Au 9.950 6.643 11.147
```

Formation energy (no corrections) in eV per formula unit: -1.177

***

no.,raw total energy (eV/atom)
1,-4.0285
2,-4.9813
3,-3.5798
4,-6.1852
5,-8.0645
6,-4.7063
7,-4.2748
8,-3.4228
9,-3.5592
10,-5.6052
11,-3.3267
12,-3.0277